[1]
YZnRe2: optimized geometry, PBE.

Calculated values
Total moment in μB/cell: 0.00
Formation enthalpy at 0 K in eV/atom: 0.30

abc: 5.006 5.006 5.053
angles: 76.28 76.28 38.47
Positions (direct):
Y 0.750 0.750 0.750
Re 0.513 0.513 0.418
Zn 0.250 0.250 0.250
Re 0.987 0.987 0.082

=====

[2]
Ba2Al: optimized geometry, PBE.

Calculated values
Total moment in μB/cell: 0.38
Formation enthalpy at 0 K in eV/atom: -0.05

abc: 7.955 7.955 7.855
angles: 52.44 52.44 42.45
Positions (direct):
Ba 0.066 0.066 0.694
Ba 0.934 0.934 0.306
Ba 0.691 0.691 0.242
Al 0.381 0.381 0.122
Al 0.619 0.619 0.878
Ba 0.309 0.309 0.758

=====

[3]
KTcAg3: optimized geometry, PBE.

Calculated values
Offset from the most stable computed form in meV/atom: 0
Total moment in μB/cell: 3.16
Formation enthalpy at 0 K in eV/atom: 0.91

abc: 5.290 5.290 5.290
angles: 90.00 90.00 90.00
Positions (direct):
Tc 0.000 0.000 0.000
K 0.500 0.500 0.500
Ag 0.500 0.000 0.000
Ag 0.000 0.000 0.500
Ag 0.000 0.500 0.000